Below is a relaxed MgTi2Sn2 crystal, with properties calculated at the GGA-PBE level.

Results
* magnetic moment: 0.00 μB/atom
* electronic total energy: -5.219 eV/atom
* DOS at the Fermi energy: 0.6850 states/eV/atom
* crystal system: tetragonal

Cell lengths 7.5489, 7.5489, 3.6350 Å; angles 90.00, 90.00, 90.00 degrees
Atoms (fractional coordinates):
Mg 0.0000 0.0000 0.0000
Mg 0.5000 0.5000 0.0000
Sn 0.8548 0.6452 0.0000
Sn 0.1452 0.3548 0.0000
Ti 0.3473 0.1527 0.5000
Ti 0.1527 0.6527 0.5000
Sn 0.3548 0.8548 0.0000
Ti 0.8473 0.3473 0.5000
Sn 0.6452 0.1452 0.0000
Ti 0.6527 0.8473 0.5000

=====

Below is a relaxed MgTiSn crystal, with properties calculated at the GGA-PBE level.

Results
* magnetic moment: 0.00 μB/atom
* electronic total energy: -4.510 eV/atom
* DOS at the Fermi energy: 0.5771 states/eV/atom
* crystal system: tetragonal

Cell lengths 3.1002, 3.1002, 6.8801 Å; angles 103.02, 103.02, 90.00 degrees
Atoms (fractional coordinates):
Sn 0.9424 0.9424 0.8848
Ti 0.2842 0.2842 0.5685
Mg 0.6233 0.6233 0.2467

=====

Below is a relaxed MgTiSnW2 crystal, with properties calculated at the GGA-PBE level.

Results
* magnetic moment: 0.32 μB/atom
* electronic total energy: -6.067 eV/atom
* DOS at the Fermi energy: 0.9537 states/eV/atom
* crystal system: tetragonal

Cell lengths 4.6778, 4.5534, 4.6778 Å; angles 90.00, 90.00, 90.00 degrees
Each line ends with the local moment (μB).
Atoms (fractional coordinates):
Mg 0.0000 0.0000 0.0000  0.02
Sn 0.5000 0.5000 0.5000  -0.01
Ti 0.0000 0.5000 0.0000  -0.15
W 0.5000 0.0000 0.0000  0.68
W 0.0000 0.0000 0.5000  0.70

=====

Below is a relaxed YMgTi2Sn crystal, with properties calculated at the GGA-PBE level.

Results
* magnetic moment: 0.00 μB/atom
* electronic total energy: -4.325 eV/atom
* DOS at the Fermi energy: 1.1019 states/eV/atom
* crystal system: tetragonal

Cell lengths 4.8913, 5.4514, 4.8913 Å; angles 90.00, 90.00, 90.00 degrees
Atoms (fractional coordinates):
Sn 0.5000 0.5000 0.5000
Mg 0.0000 0.5000 0.0000
Y 0.0000 0.0000 0.0000
Ti 0.0000 0.0000 0.5000
Ti 0.5000 0.0000 0.0000

=====

Below is a relaxed MgTlSn3 crystal, with properties calculated at the GGA-PBE level.

Results
* magnetic moment: 0.00 μB/atom
* electronic total energy: -3.190 eV/atom
* DOS at the Fermi energy: 0.3892 states/eV/atom
* crystal system: monoclinic

Cell lengths 5.9777, 6.4597, 8.0606 Å; angles 113.62, 103.14, 90.00 degrees
Atoms (fractional coordinates):
Sn 0.3364 0.4132 0.3070
Mg 0.5000 0.0000 0.0000
Sn 0.6636 0.1062 0.6930
Sn 0.8964 0.1907 0.3815
Tl 0.2096 0.4269 0.8538
Mg 0.0000 0.0000 0.0000
Tl 0.7904 0.5731 0.1462
Sn 0.6636 0.5868 0.6930
Sn 0.3364 0.8938 0.3070
Sn 0.1036 0.8093 0.6185

=====

Below is a relaxed MgTl2Sn2 crystal, with properties calculated at the GGA-PBE level.

Results
* magnetic moment: 0.00 μB/atom
* electronic total energy: -2.825 eV/atom
* DOS at the Fermi energy: 0.2753 states/eV/atom
* crystal system: tetragonal

Cell lengths 7.6689, 7.6689, 5.0512 Å; angles 90.00, 90.00, 90.00 degrees
Atoms (fractional coordinates):
Tl 0.6684 0.8316 0.5000
Tl 0.1684 0.6684 0.5000
Sn 0.6373 0.1373 0.0000
Sn 0.3627 0.8627 0.0000
Tl 0.3316 0.1684 0.5000
Tl 0.8316 0.3316 0.5000
Sn 0.1373 0.3627 0.0000
Mg 0.0000 0.0000 0.0000
Sn 0.8627 0.6373 0.0000
Mg 0.5000 0.5000 0.0000

=====

It is found that the energy relative to the elements values, taken in the order of the records, are -0.1414 -0.0122 1.8125 1.2450 0.0044 0.0416 eV/atom.